The following is a DFT calculation (PBE+U) of a relaxed structure of KCo2PdF.

Output
The total magnetization is 5.33 μB/cell. Its energy above the most stable polymorph in this dataset is 0 meV/atom. The total DFT energy (no corrections) is -3.423 eV per atom. As for the crystal system: tetragonal.

Lattice parameters (Å, degrees): 4.730 6.753 4.730 90.00 90.00 90.00
Fractional coordinates of all 5 atoms:
F 0.500 0.500 0.500
Pd 0.000 0.000 0.000
Co 0.500 0.000 0.000
Co 0.000 0.000 0.500
K 0.000 0.500 0.000